(1)
Here is a relaxed structure of Nd5In3 from Alexandria via LeMat-Bulk. Energies are from PBE.

Properties
* crystal system: orthorhombic
* raw total energy: -4.348 eV per atom
* N(E_F): 16.442 states/eV per cell

```
data_Nd5In3
_chemical_formula_sum 'Nd10 In6'
_space_group_name_H-M_alt 'C m m m'
_space_group_IT_number 65
_space_group_name_Hall '-C 2 2'
_cell_length_a 9.288
_cell_length_b 10.207
_cell_length_c 5.116
_cell_angle_alpha 90.00
_cell_angle_beta 90.00
_cell_angle_gamma 90.00
loop_
_atom_site_label
_atom_site_type_symbol
_atom_site_fract_x
_atom_site_fract_y
_atom_site_fract_z
_atom_site_occupancy
Nd1 Nd 0.000 0.000 0.000 1
Nd2 Nd 0.230 0.500 0.500 1
Nd3 Nd 0.250 0.250 0.000 1
In1 In 0.000 0.231 0.500 1
In2 In 0.000 0.500 0.000 1
```

(2)
Here is a relaxed structure of Na2Y3TmTe6 from Alexandria via LeMat-Bulk. Energies are from PBE.

Properties
* crystal system: monoclinic
* N(E_F): 7.704 states/eV per cell
* E_form (uncorrected): -15.7 eV/f.u.

```
data_Na2Y3TmTe6
_chemical_formula_sum 'Na4 Y6 Tm2 Te12'
_space_group_name_H-M_alt 'C 1 2/m 1'
_space_group_IT_number 12
_cell_length_a 7.591
_cell_length_b 13.131
_cell_length_c 7.690
_cell_angle_alpha 90.00
_cell_angle_beta 109.12
_cell_angle_gamma 90.00
loop_
_space_group_symop_operation_xyz
'x,y,z'
'-x,-y,-z'
'-x,y,-z'
'x,-y,z'
'x+1/2,y+1/2,z'
'-x+1/2,-y+1/2,-z'
'-x+1/2,y+1/2,-z'
'x+1/2,-y+1/2,z'
loop_
_atom_site_label
_atom_site_type_symbol
_atom_site_fract_x
_atom_site_fract_y
_atom_site_fract_z
_atom_site_occupancy
Na1 Na 0.000 0.165 0.000 1
Y1 Y 0.000 0.000 0.500 1
Y2 Y 0.000 0.330 0.500 1
Tm1 Tm 0.000 0.500 0.000 1
Te1 Te 0.241 0.500 0.746 1
Te2 Te 0.247 0.336 0.250 1
```

(3)
Here is a relaxed structure of ScTiC2 from Alexandria via LeMat-Bulk. Energies are from PBE.

Properties
* crystal system: tetragonal
* raw total energy: -8.055 eV per atom
* N(E_F): 10.929 states/eV per cell

```
data_ScTiC2
_chemical_formula_sum 'Sc4 Ti4 C8'
_space_group_name_H-M_alt 'I -4 2 d'
_space_group_IT_number 122
_space_group_name_Hall 'I -4 2bw'
_cell_length_a 4.898
_cell_length_b 4.898
_cell_length_c 9.811
_cell_angle_alpha 90.00
_cell_angle_beta 90.00
_cell_angle_gamma 90.00
loop_
_atom_site_label
_atom_site_type_symbol
_atom_site_fract_x
_atom_site_fract_y
_atom_site_fract_z
_atom_site_occupancy
Sc1 Sc 0.000 0.000 0.000 1
Ti1 Ti 0.000 0.000 0.500 1
C1 C 0.216 0.250 0.625 1
```

(4)
Here is a relaxed structure of Pm5Sm12Mg2 from Alexandria via LeMat-Bulk. Energies are from PBE.

Properties
* crystal system: monoclinic
* raw total energy: -4.312 eV per atom
* N(E_F): 52.852 states/eV per cell

```
data_Pm5Sm12Mg2
_chemical_formula_sum 'Pm10 Sm24 Mg4'
_space_group_name_H-M_alt 'C 1 2/m 1'
_space_group_IT_number 12
_cell_length_a 15.796
_cell_length_b 9.285
_cell_length_c 8.614
_cell_angle_alpha 90.00
_cell_angle_beta 92.77
_cell_angle_gamma 90.00
loop_
_space_group_symop_operation_xyz
'x,y,z'
'-x,-y,-z'
'-x,y,-z'
'x,-y,z'
'x+1/2,y+1/2,z'
'-x+1/2,-y+1/2,-z'
'-x+1/2,y+1/2,-z'
'x+1/2,-y+1/2,z'
loop_
_atom_site_label
_atom_site_type_symbol
_atom_site_fract_x
_atom_site_fract_y
_atom_site_fract_z
_atom_site_occupancy
Pm1 Pm 0.000 0.000 0.000 1
Pm2 Pm 0.206 0.500 0.527 1
Pm3 Pm 0.232 0.000 0.071 1
Sm1 Sm 0.057 0.500 0.838 1
Sm2 Sm 0.076 0.000 0.380 1
Sm3 Sm 0.128 0.307 0.182 1
Sm4 Sm 0.145 0.183 0.738 1
Mg1 Mg 0.000 0.336 0.500 1
```